Version w
# KGaTc | OQMD | PBE | optimized geometry
# Size of the total moment: 3.3 μB/f.u.
data_KGaTc
_space_group_name_H-M_alt 'F -4 3 m'
_space_group_IT_number 216
_space_group_name_Hall 'F -4 2 3'
_cell_length_a 7.1076
_cell_length_b 7.1076
_cell_length_c 7.1076
_cell_angle_alpha 90.00
_cell_angle_beta 90.00
_cell_angle_gamma 90.00
loop_
_atom_site_label
_atom_site_type_symbol
_atom_site_fract_x
_atom_site_fract_y
_atom_site_fract_z
_atom_site_occupancy
K1 K 0.0000 0.0000 0.0000 1
Ga1 Ga 0.2500 0.2500 0.7500 1
Tc1 Tc 0.2500 0.2500 0.2500 1

***

Version x
# KGaTc | OQMD | PBE | optimized geometry
# Size of the total moment: 2.5 μB/f.u.
data_KGaTc
_space_group_name_H-M_alt 'F -4 3 m'
_space_group_IT_number 216
_space_group_name_Hall 'F -4 2 3'
_cell_length_a 6.7961
_cell_length_b 6.7961
_cell_length_c 6.7961
_cell_angle_alpha 90.00
_cell_angle_beta 90.00
_cell_angle_gamma 90.00
loop_
_atom_site_label
_atom_site_type_symbol
_atom_site_fract_x
_atom_site_fract_y
_atom_site_fract_z
_atom_site_occupancy
K1 K 0.0000 0.0000 0.0000 1
Ga1 Ga 0.2500 0.2500 0.2500 1
Tc1 Tc 0.0000 0.0000 0.5000 1

***

Quick look at relative energies in eV/atom: version w 0.570; version x 0.000.

***

Version w
# KGaW | OQMD | PBE | optimized geometry
# Size of the total moment: 2.9 μB/f.u.
data_KGaW
_space_group_name_H-M_alt 'F -4 3 m'
_space_group_IT_number 216
_space_group_name_Hall 'F -4 2 3'
_cell_length_a 6.8109
_cell_length_b 6.8109
_cell_length_c 6.8109
_cell_angle_alpha 90.00
_cell_angle_beta 90.00
_cell_angle_gamma 90.00
loop_
_atom_site_label
_atom_site_type_symbol
_atom_site_fract_x
_atom_site_fract_y
_atom_site_fract_z
_atom_site_occupancy
K1 K 0.0000 0.0000 0.0000 1
Ga1 Ga 0.2500 0.2500 0.2500 1
W1 W 0.0000 0.0000 0.5000 1

***

Version x
# KGaW | OQMD | PBE | optimized geometry
# Size of the total moment: 4.1 μB/f.u.
data_KGaW
_space_group_name_H-M_alt 'F -4 3 m'
_space_group_IT_number 216
_space_group_name_Hall 'F -4 2 3'
_cell_length_a 7.2863
_cell_length_b 7.2863
_cell_length_c 7.2863
_cell_angle_alpha 90.00
_cell_angle_beta 90.00
_cell_angle_gamma 90.00
loop_
_atom_site_label
_atom_site_type_symbol
_atom_site_fract_x
_atom_site_fract_y
_atom_site_fract_z
_atom_site_occupancy
K1 K 0.0000 0.0000 0.0000 1
Ga1 Ga 0.2500 0.2500 0.7500 1
W1 W 0.2500 0.2500 0.2500 1

***

Quick look at relative energies in eV/atom: version w 0.000; version x 0.664.

***

Version w
# KZrGa | OQMD | PBE | optimized geometry
# Size of the total moment: 0.0 μB/f.u.
data_KZrGa
_space_group_name_H-M_alt 'F -4 3 m'
_space_group_IT_number 216
_space_group_name_Hall 'F -4 2 3'
_cell_length_a 7.0704
_cell_length_b 7.0704
_cell_length_c 7.0704
_cell_angle_alpha 90.00
_cell_angle_beta 90.00
_cell_angle_gamma 90.00
loop_
_atom_site_label
_atom_site_type_symbol
_atom_site_fract_x
_atom_site_fract_y
_atom_site_fract_z
_atom_site_occupancy
K1 K 0.0000 0.0000 0.0000 1
Zr1 Zr 0.0000 0.0000 0.5000 1
Ga1 Ga 0.2500 0.2500 0.2500 1

***

Version x
# KZrGa | OQMD | PBE | optimized geometry
# Size of the total moment: 0.0 μB/f.u.
data_KZrGa
_space_group_name_H-M_alt 'F -4 3 m'
_space_group_IT_number 216
_space_group_name_Hall 'F -4 2 3'
_cell_length_a 6.8881
_cell_length_b 6.8881
_cell_length_c 6.8881
_cell_angle_alpha 90.00
_cell_angle_beta 90.00
_cell_angle_gamma 90.00
loop_
_atom_site_label
_atom_site_type_symbol
_atom_site_fract_x
_atom_site_fract_y
_atom_site_fract_z
_atom_site_occupancy
K1 K 0.0000 0.0000 0.0000 1
Zr1 Zr 0.2500 0.2500 0.2500 1
Ga1 Ga 0.2500 0.2500 0.7500 1

***

Quick look at relative energies in eV/atom: version w 0.000; version x 0.620.

***

Version w
# LaMgGaNi | OQMD | PBE | optimized geometry
# Size of the total moment: 0.0 μB/f.u.
data_LaMgGaNi
_space_group_name_H-M_alt 'F -4 3 m'
_space_group_IT_number 216
_space_group_name_Hall 'F -4 2 3'
_cell_length_a 6.7899
_cell_length_b 6.7899
_cell_length_c 6.7899
_cell_angle_alpha 90.00
_cell_angle_beta 90.00
_cell_angle_gamma 90.00
loop_
_atom_site_label
_atom_site_type_symbol
_atom_site_fract_x
_atom_site_fract_y
_atom_site_fract_z
_atom_site_occupancy
La1 La 0.0000 0.0000 0.0000 1
Mg1 Mg 0.2500 0.2500 0.2500 1
Ga1 Ga 0.0000 0.0000 0.5000 1
Ni1 Ni 0.2500 0.2500 0.7500 1

***

Version x
# LaMgGaNi | OQMD | PBE | optimized geometry
# Size of the total moment: 0.0 μB/f.u.
data_LaMgGaNi
_space_group_name_H-M_alt 'F -4 3 m'
_space_group_IT_number 216
_space_group_name_Hall 'F -4 2 3'
_cell_length_a 6.8823
_cell_length_b 6.8823
_cell_length_c 6.8823
_cell_angle_alpha 90.00
_cell_angle_beta 90.00
_cell_angle_gamma 90.00
loop_
_atom_site_label
_atom_site_type_symbol
_atom_site_fract_x
_atom_site_fract_y
_atom_site_fract_z
_atom_site_occupancy
La1 La 0.0000 0.0000 0.0000 1
Mg1 Mg 0.0000 0.0000 0.5000 1
Ga1 Ga 0.2500 0.2500 0.2500 1
Ni1 Ni 0.2500 0.2500 0.7500 1

***

Quick look at relative energies in eV/atom: version w 0.070; version x 0.000.